Record 1
The following is a PBE calculation of an optimized crystal structure of ZrNiHgSb, from OQMD via LeMat-Bulk.

## Properties
The value obtained for the calculated total energy is -18.14 eV for the cell shown.

Cell lengths 4.8450, 4.8450, 4.8450 Å; angles 60.00, 60.00, 60.00 degrees
With the nearest neighbours (Å) after each atom.
Sites, in units of the cell vectors:
Ni1 0.7500 0.7500 0.7500  4 Zr 2.97, 4 Sb 2.97
Hg1 0.2500 0.2500 0.2500  4 Zr 2.97, 4 Sb 2.97
Sb1 0.0000 0.0000 0.0000  4 Hg 2.97, 4 Ni 2.97
Zr1 0.5000 0.5000 0.5000  4 Hg 2.97, 4 Ni 2.97

Record 2
The following is a PBE calculation of an optimized crystal structure of NaGaCuTe3, from OQMD via LeMat-Bulk.

## Properties
The value obtained for the calculated total energy is -38.55 eV for the cell shown.

Cell lengths 8.3552, 3.8969, 10.1534 Å; angles 90.00, 103.51, 90.00 degrees
With the nearest neighbours (Å) after each atom.
Sites, in units of the cell vectors:
Ga1 0.3161 0.7500 0.3682  6 Te 2.75-2.98
Ga2 0.6839 0.2500 0.6318  6 Te 2.75-2.98
Te1 0.0682 0.2500 0.3463  1 Cu 2.64, 2 Ga 2.81
Te2 0.2548 0.7500 0.0671  3 Cu 2.63
Te3 0.9318 0.7500 0.6537  1 Cu 2.64, 2 Ga 2.81
Te4 0.5671 0.2500 0.3553  3 Ga 2.75-2.89
Te5 0.4329 0.7500 0.6447  3 Ga 2.75-2.89
Te6 0.7452 0.2500 0.9329  3 Cu 2.63
Cu1 0.9517 0.7500 0.9166  2 Cu 2.58, 4 Te 2.63-2.64
Cu2 0.0483 0.2500 0.0834  2 Cu 2.58, 4 Te 2.63-2.64
Na1 0.7583 0.7500 0.1924  6 Te 3.21-3.32, 3 Cu 3.48-3.55
Na2 0.2417 0.2500 0.8076  6 Te 3.21-3.32, 3 Cu 3.48-3.55

Listing volume for the structures above in their given order: 20.105 26.787 A^3/atom.